No. 1
Below is Pu3Cu2As2H4 after structural relaxation, with properties calculated at the PBE level.

Structure (CIF):
```
data_Pu3Cu2As2H4
_space_group_name_H-M_alt 'I 4/m m m'
_space_group_IT_number 139
_space_group_name_Hall '-I 4 2'
_cell_length_a 2.964
_cell_length_b 2.964
_cell_length_c 38.199
_cell_angle_alpha 90.00
_cell_angle_beta 90.00
_cell_angle_gamma 90.00
loop_
_atom_site_label
_atom_site_type_symbol
_atom_site_fract_x
_atom_site_fract_y
_atom_site_fract_z
Pu1 Pu 0.000 0.000 0.000
Pu2 Pu 0.000 0.000 0.422
Cu1 Cu 0.000 0.000 0.144
As1 As 0.000 0.000 0.206
H1 H 0.000 0.500 0.119
```

crystal system: tetragonal
VASP energy: -6.49 eV per atom

No. 2
Below is KSnB3 after structural relaxation, with properties calculated at the PBE level.

Structure (CIF):
```
data_KSnB3
_space_group_name_H-M_alt 'P m -3 m'
_space_group_IT_number 221
_space_group_name_Hall '-P 4 2 3'
_cell_length_a 4.691
_cell_length_b 4.691
_cell_length_c 4.691
_cell_angle_alpha 90.00
_cell_angle_beta 90.00
_cell_angle_gamma 90.00
loop_
_atom_site_label
_atom_site_type_symbol
_atom_site_fract_x
_atom_site_fract_y
_atom_site_fract_z
K1 K 0.000 0.000 0.000
Sn1 Sn 0.500 0.500 0.500
B1 B 0.000 0.500 0.500
```

crystal system: cubic
E above lowest polymorph: 0 meV/atom
DFT formation energy: 1870 meV per atom
VASP energy: -3.16 eV per atom

No. 3
Below is LiYTe2N after structural relaxation, with properties calculated at the PBE level.

Structure (CIF):
```
data_LiYTe2N
_space_group_name_H-M_alt 'P 4/m m m'
_space_group_IT_number 123
_space_group_name_Hall '-P 4 2'
_cell_length_a 6.181
_cell_length_b 6.181
_cell_length_c 4.074
_cell_angle_alpha 90.00
_cell_angle_beta 90.00
_cell_angle_gamma 90.00
loop_
_atom_site_label
_atom_site_type_symbol
_atom_site_fract_x
_atom_site_fract_y
_atom_site_fract_z
Li1 Li 0.000 0.000 0.000
Y1 Y 0.500 0.500 0.500
Te1 Te 0.000 0.500 0.500
N1 N 0.500 0.500 0.000
```

ΔE_f (raw): -0.019 eV per atom
crystal system: tetragonal
E above lowest polymorph: 0 meV/atom
VASP energy: -4.62 eV per atom

No. 4
Below is AgC4 after structural relaxation, with properties calculated at the PBE level.

Structure (CIF):
```
data_AgC4
_space_group_name_H-M_alt 'I 4/m m m'
_space_group_IT_number 139
_space_group_name_Hall '-I 4 2'
_cell_length_a 2.909
_cell_length_b 2.909
_cell_length_c 11.996
_cell_angle_alpha 90.00
_cell_angle_beta 90.00
_cell_angle_gamma 90.00
loop_
_atom_site_label
_atom_site_type_symbol
_atom_site_fract_x
_atom_site_fract_y
_atom_site_fract_z
Ag1 Ag 0.000 0.000 0.000
C1 C 0.000 0.000 0.310
C2 C 0.000 0.500 0.250
```

crystal system: tetragonal
E above lowest polymorph: 747 meV/atom
DFT formation energy: 2110 meV per atom
VASP energy: -5.84 eV per atom

No. 5
Below is K2LiPbO4 after structural relaxation, with properties calculated at the PBE level.

Structure (CIF):
```
data_K2LiPbO4
_space_group_name_H-M_alt 'I -4 2 m'
_space_group_IT_number 121
_space_group_name_Hall 'I -4 2'
_cell_length_a 6.683
_cell_length_b 6.683
_cell_length_c 6.030
_cell_angle_alpha 90.00
_cell_angle_beta 90.00
_cell_angle_gamma 90.00
loop_
_atom_site_label
_atom_site_type_symbol
_atom_site_fract_x
_atom_site_fract_y
_atom_site_fract_z
K1 K 0.000 0.500 0.000
Li1 Li 0.000 0.000 0.000
Pb1 Pb 0.000 0.000 0.500
O1 O 0.154 0.154 0.751
```

ΔE_f (raw): -1.036 eV per atom
crystal system: tetragonal
VASP energy: -4.49 eV per atom

No. 6
Below is TlCdTeBr after structural relaxation, with properties calculated at the PBE level.

Structure (CIF):
```
data_TlCdTeBr
_space_group_name_H-M_alt 'P 3 m 1'
_space_group_IT_number 156
_cell_length_a 4.6643
_cell_length_b 4.6643
_cell_length_c 7.9499
_cell_angle_alpha 90.00
_cell_angle_beta 90.00
_cell_angle_gamma 120.00
loop_
_space_group_symop_operation_xyz
'x,y,z'
'-y,x-y,z'
'-x+y,-x,z'
'-y,-x,z'
'-x+y,y,z'
'x,x-y,z'
loop_
_atom_site_label
_atom_site_type_symbol
_atom_site_fract_x
_atom_site_fract_y
_atom_site_fract_z
Tl1 Tl 0.0000 0.0000 0.0000
Cd1 Cd 0.3333 0.6667 0.5698
Te1 Te 0.6667 0.3333 0.6932
Br1 Br 0.3333 0.6667 0.2263
```

ΔE_f (raw): -0.609 eV per atom
crystal system: trigonal
VASP energy: -2.63 eV per atom

No. 7
Below is BaNa after structural relaxation, with properties calculated at the PBE level.

Structure (CIF):
```
data_BaNa
_space_group_name_H-M_alt 'I -4 3 m'
_space_group_IT_number 217
_space_group_name_Hall 'I -4 2 3'
_cell_length_a 11.207
_cell_length_b 11.207
_cell_length_c 11.207
_cell_angle_alpha 90.00
_cell_angle_beta 90.00
_cell_angle_gamma 90.00
loop_
_atom_site_label
_atom_site_type_symbol
_atom_site_fract_x
_atom_site_fract_y
_atom_site_fract_z
Ba1 Ba 0.207 0.207 0.793
Na1 Na 0.106 0.106 0.106
```

crystal system: cubic
E above lowest polymorph: 568 meV/atom
DFT formation energy: 548 meV per atom
VASP energy: -1.07 eV per atom

No. 8
Below is Dy7SI12 after structural relaxation, with properties calculated at the PBE level.

Structure (CIF):
```
data_Dy7SI12
_space_group_name_H-M_alt 'R -3'
_space_group_IT_number 148
_space_group_name_Hall '-R 3'
_cell_length_a 15.5873
_cell_length_b 15.5873
_cell_length_c 10.3061
_cell_angle_alpha 90.00
_cell_angle_beta 90.00
_cell_angle_gamma 120.00
loop_
_atom_site_label
_atom_site_type_symbol
_atom_site_fract_x
_atom_site_fract_y
_atom_site_fract_z
Dy1 Dy 0.0000 0.0000 0.0000
Dy2 Dy 0.0429 0.8890 0.3544
S1 S 0.0000 0.0000 0.5000
I1 I 0.0243 0.4384 0.1638
I2 I 0.0517 0.8675 0.8358
```

ΔE_f (raw): -1.333 eV per atom
crystal system: trigonal
VASP energy: -4.08 eV per atom

For reference, total moment by record: 15.945, 0.000, 0.338, 0.000, 1.012, 0.000, 0.001, 0.000 μB/f.u..